Record 1
## ThVO5 (GGA+U)

Data for a relaxed ThVO5 crystal.

Cell lengths 6.1798, 6.1798, 8.5044 Å; angles 109.35, 109.35, 92.42 degrees
Last column: nearest neighbours and their distance in Å.
Element x y z (fractional)
Th 0.0000 0.0000 0.0000  6 O 2.18-2.33
Th 0.0000 0.0000 0.5000  6 O 2.18-2.33
V 0.3654 0.6346 0.7500  4 O 1.74
V 0.6346 0.3654 0.2500  4 O 1.74
O 0.0536 0.9464 0.2500  2 Th 2.18
O 0.2343 0.7387 0.9068  1 V 1.74
O 0.2613 0.7657 0.5932  1 V 1.74
O 0.2832 0.3346 0.6457  1 V 1.74
O 0.3346 0.2832 0.1457  1 V 1.74
O 0.6654 0.7168 0.8543  1 V 1.74
O 0.7168 0.6654 0.3543  1 V 1.74
O 0.7387 0.2343 0.4068  1 V 1.74
O 0.7657 0.2613 0.0932  1 V 1.74
O 0.9464 0.0536 0.7500  2 Th 2.18

## Properties
E_tot (eV for the cell shown): -112.70
Calculated density (g/cm³): 4.23
Space-group type: C2/c



Record 2
## ThVO5 (GGA+U)

Data for a relaxed ThVO5 crystal.

Cell lengths 5.5457, 5.5457, 7.6198 Å; angles 109.89, 109.89, 71.34 degrees
Last column: nearest neighbours and their distance in Å.
Element x y z (fractional)
Th 0.0528 0.9472 0.7500  7 O 2.28-2.48
Th 0.9472 0.0528 0.2500  7 O 2.28-2.48
V 0.5000 0.5000 0.0000  6 O 1.83-1.95
V 0.5000 0.5000 0.5000  6 O 1.83-1.95
O 0.2014 0.7800 0.0323  1 V 1.89
O 0.2200 0.7986 0.4677  1 V 1.89
O 0.2606 0.2930 0.3878  1 V 1.83
O 0.2930 0.2606 0.8878  1 V 1.83
O 0.4359 0.5641 0.7500  2 V 1.95
O 0.5641 0.4359 0.2500  2 V 1.95
O 0.7070 0.7394 0.1122  1 V 1.83
O 0.7394 0.7070 0.6122  1 V 1.83
O 0.7800 0.2014 0.5323  1 V 1.89
O 0.7986 0.2200 0.9677  1 V 1.89

## Properties
E_tot (eV for the cell shown): -112.36
Calculated density (g/cm³): 5.98
Space-group type: C2/c



Record 3
## Th3V5O12 (GGA+U)

Data for a relaxed Th3V5O12 crystal.

Cell lengths 11.2300, 11.2300, 11.2300 Å; angles 109.47, 109.47, 109.47 degrees
Last column: nearest neighbours and their distance in Å.
Element x y z (fractional)
Th 0.1250 0.2500 0.3750  8 O 2.42-2.51
Th 0.1250 0.3750 0.7500  8 O 2.42-2.51
Th 0.2500 0.3750 0.1250  8 O 2.42-2.51
Th 0.2500 0.8750 0.6250  8 O 2.42-2.51
Th 0.3750 0.1250 0.2500  8 O 2.42-2.51
Th 0.3750 0.7500 0.1250  8 O 2.42-2.51
Th 0.6250 0.2500 0.8750  8 O 2.42-2.51
Th 0.6250 0.8750 0.7500  8 O 2.42-2.51
Th 0.7500 0.1250 0.3750  8 O 2.42-2.51
Th 0.7500 0.6250 0.8750  8 O 2.42-2.51
Th 0.8750 0.6250 0.2500  8 O 2.42-2.51
Th 0.8750 0.7500 0.6250  8 O 2.42-2.51
V 0.0000 0.0000 0.0000  6 O 2.18
V 0.0000 0.0000 0.5000  6 O 2.18
V 0.0000 0.5000 0.0000  6 O 2.18
V 0.0000 0.5000 0.5000  6 O 2.18
V 0.1250 0.7500 0.8750  4 O 1.96
V 0.1250 0.8750 0.2500  4 O 1.96
V 0.2500 0.1250 0.8750  4 O 1.96
V 0.2500 0.6250 0.3750  4 O 1.96
V 0.3750 0.2500 0.6250  4 O 1.96
V 0.3750 0.6250 0.7500  4 O 1.96
V 0.5000 0.0000 0.0000  6 O 2.18
V 0.5000 0.0000 0.5000  6 O 2.18
V 0.5000 0.5000 0.0000  6 O 2.18
V 0.5000 0.5000 0.5000  6 O 2.18
V 0.6250 0.3750 0.2500  4 O 1.96
V 0.6250 0.7500 0.3750  4 O 1.96
V 0.7500 0.3750 0.6250  4 O 1.96
V 0.7500 0.8750 0.1250  4 O 1.96
V 0.8750 0.1250 0.7500  4 O 1.96
V 0.8750 0.2500 0.1250  4 O 1.96
O 0.0366 0.2157 0.1312  2 V 1.96-2.18
O 0.0366 0.3209 0.9054  2 V 1.96-2.18
O 0.0845 0.7157 0.6791  2 V 1.96-2.18
O 0.0845 0.8688 0.4054  2 V 1.96-2.18
O 0.0946 0.6312 0.4155  2 V 1.96-2.18
O 0.0946 0.9634 0.6791  2 V 1.96-2.18
O 0.1312 0.0366 0.2157  2 V 1.96-2.18
O 0.1312 0.5946 0.9155  2 V 1.96-2.18
O 0.1791 0.2157 0.5845  2 V 1.96-2.18
O 0.1791 0.4634 0.5946  2 V 1.96-2.18
O 0.2157 0.1312 0.0366  2 V 1.96-2.18
O 0.2157 0.5845 0.1791  2 V 1.96-2.18
O 0.2843 0.3209 0.9155  2 V 1.96-2.18
O 0.2843 0.4634 0.3688  2 V 1.96-2.18
O 0.3209 0.9054 0.0366  2 V 1.96-2.18
O 0.3209 0.9155 0.2843  2 V 1.96-2.18
O 0.3688 0.2843 0.4634  2 V 1.96-2.18
O 0.3688 0.5845 0.9054  2 V 1.96-2.18
O 0.4054 0.0845 0.8688  2 V 1.96-2.18
O 0.4054 0.8209 0.5366  2 V 1.96-2.18
O 0.4155 0.0946 0.6312  2 V 1.96-2.18
O 0.4155 0.8209 0.7843  2 V 1.96-2.18
O 0.4634 0.3688 0.2843  2 V 1.96-2.18
O 0.4634 0.5946 0.1791  2 V 1.96-2.18
O 0.5366 0.4054 0.8209  2 V 1.96-2.18
O 0.5366 0.6312 0.7157  2 V 1.96-2.18
O 0.5845 0.1791 0.2157  2 V 1.96-2.18
O 0.5845 0.9054 0.3688  2 V 1.96-2.18
O 0.5946 0.1791 0.4634  2 V 1.96-2.18
O 0.5946 0.9155 0.1312  2 V 1.96-2.18
O 0.6312 0.4155 0.0946  2 V 1.96-2.18
O 0.6312 0.7157 0.5366  2 V 1.96-2.18
O 0.6791 0.0845 0.7157  2 V 1.96-2.18
O 0.6791 0.0946 0.9634  2 V 1.96-2.18
O 0.7157 0.5366 0.6312  2 V 1.96-2.18
O 0.7157 0.6791 0.0845  2 V 1.96-2.18
O 0.7843 0.4155 0.8209  2 V 1.96-2.18
O 0.7843 0.8688 0.9634  2 V 1.96-2.18
O 0.8209 0.5366 0.4054  2 V 1.96-2.18
O 0.8209 0.7843 0.4155  2 V 1.96-2.18
O 0.8688 0.4054 0.0845  2 V 1.96-2.18
O 0.8688 0.9634 0.7843  2 V 1.96-2.18
O 0.9054 0.0366 0.3209  2 V 1.96-2.18
O 0.9054 0.3688 0.5845  2 V 1.96-2.18
O 0.9155 0.1312 0.5946  2 V 1.96-2.18
O 0.9155 0.2843 0.3209  2 V 1.96-2.18
O 0.9634 0.6791 0.0946  2 V 1.96-2.18
O 0.9634 0.7843 0.8688  2 V 1.96-2.18

## Properties
E_tot (eV for the cell shown): -685.36
Calculated density (g/cm³): 6.96
Space-group type: Ia-3d



Record 4
## Th4V6O19 (GGA+U)

Data for a relaxed Th4V6O19 crystal.

Cell lengths 7.6039, 7.6039, 7.6039 Å; angles 109.47, 109.47, 109.47 degrees
Last column: nearest neighbours and their distance in Å.
Element x y z (fractional)
Th 0.0000 0.0000 0.3319  10 O 2.51-2.58
Th 0.0000 0.3319 0.0000  10 O 2.51-2.58
Th 0.3319 0.0000 0.0000  10 O 2.51-2.58
Th 0.6681 0.6681 0.6681  10 O 2.51-2.58
V 0.1608 0.5000 0.6608  6 O 1.92-2.05
V 0.3392 0.8392 0.5000  6 O 1.92-2.05
V 0.5000 0.3392 0.8392  6 O 1.92-2.05
V 0.5000 0.6608 0.1608  6 O 1.92-2.05
V 0.6608 0.1608 0.5000  6 O 1.92-2.05
V 0.8392 0.5000 0.3392  6 O 1.92-2.05
O 0.0000 0.0000 0.0000  4 Th 2.52
O 0.0000 0.3429 0.3429  2 V 1.97
O 0.0000 0.6571 0.6571  2 V 1.97
O 0.0219 0.6641 0.2635  2 V 1.92-2.05
O 0.2417 0.6423 0.9781  2 V 1.92-2.05
O 0.2635 0.0219 0.6641  2 V 1.92-2.05
O 0.3359 0.3577 0.5994  2 V 1.92-2.05
O 0.3429 0.0000 0.3429  2 V 1.97
O 0.3429 0.3429 0.0000  2 V 1.97
O 0.3577 0.5994 0.3359  2 V 1.92-2.05
O 0.4006 0.7583 0.7365  2 V 1.92-2.05
O 0.5994 0.3359 0.3577  2 V 1.92-2.05
O 0.6423 0.9781 0.2417  2 V 1.92-2.05
O 0.6571 0.0000 0.6571  2 V 1.97
O 0.6571 0.6571 0.0000  2 V 1.97
O 0.6641 0.2635 0.0219  2 V 1.92-2.05
O 0.7365 0.4006 0.7583  2 V 1.92-2.05
O 0.7583 0.7365 0.4006  2 V 1.92-2.05
O 0.9781 0.2417 0.6423  2 V 1.92-2.05

## Properties
E_tot (eV for the cell shown): -247.21
Calculated density (g/cm³): 7.54
Space-group type: I23



Record 5
## ThW2O8 (GGA+U)

Data for a relaxed ThW2O8 crystal.

Cell lengths 5.7085, 5.7085, 3.8896 Å; angles 95.17, 95.17, 112.32 degrees
Last column: nearest neighbours and their distance in Å.
Element x y z (fractional)
Th 0.0000 0.0000 0.0000  12 O 2.48-2.61
W 0.3255 0.6745 0.5000  8 O 2.02-2.12
W 0.6745 0.3255 0.5000  8 O 2.02-2.12
O 0.0468 0.3222 0.5488  2 W 2.07-2.12, 1 O 2.31
O 0.2610 0.7390 0.0000  2 W 2.04
O 0.3222 0.0468 0.5488  2 W 2.07-2.12, 1 O 2.31
O 0.3996 0.3996 0.2210  2 W 2.02
O 0.6004 0.6004 0.7790  2 W 2.02
O 0.6778 0.9532 0.4512  2 W 2.07-2.12, 1 O 2.31
O 0.7390 0.2610 0.0000  2 W 2.04
O 0.9532 0.6778 0.4512  2 W 2.07-2.12, 1 O 2.31

## Properties
E_tot (eV for the cell shown): -86.42
Calculated density (g/cm³): 10.44
Space-group type: C2/m